Record 1
## Fe4BIr2 (PBE)

Data for crystalline Fe4BIr2 at its relaxed geometry.

The calculated formation energy comes out at 2.5 eV per formula unit.

abc: 3.8025 3.8025 6.7468
angles: 73.63 73.63 90.00
Last column: magnetic moment on the atom in μB.
Fractional positions:
Fe (0.8358, 0.8358, 0.3283)  2.70
Fe (0.5000, 0.0000, 0.0000)  1.75
Fe (0.0000, 0.5000, 0.0000)  1.75
Fe (0.1642, 0.1642, 0.6717)  2.70
B (0.0000, 0.0000, 0.0000)  -0.17
Ir (0.6420, 0.6420, 0.7159)  0.45
Ir (0.3580, 0.3580, 0.2841)  0.45

***

Record 2
## Fe2BIr (PBE)

Data for crystalline Fe2BIr at its relaxed geometry.

The calculated formation energy comes out at 2.0 eV per formula unit.

abc: 3.2802 3.2802 8.9269
angles: 79.41 79.41 90.00
Last column: magnetic moment on the atom in μB.
Fractional positions:
Ir (0.7500, 0.2500, 0.5000)  0.14
Ir (0.0000, 0.0000, 0.0000)  0.13
Fe (0.8750, 0.8527, 0.7500)  2.06
Fe (0.1473, 0.6250, 0.2500)  2.09
Fe (0.3750, 0.3973, 0.7500)  2.06
Fe (0.6027, 0.1250, 0.2500)  2.09
B (0.5000, 0.5000, 0.0000)  -0.05
B (0.2500, 0.7500, 0.5000)  -0.05

***

Record 3
## FeBIr (PBE)

Data for crystalline FeBIr at its relaxed geometry.

The calculated formation energy comes out at -0.5 eV per formula unit.

abc: 2.8843 6.2290 10.7737
angles: 90.00 90.00 90.00
Last column: magnetic moment on the atom in μB.
Fractional positions:
B (0.5000, 0.9404, 0.5873)  -0.09
B (0.5000, 0.0596, 0.0873)  -0.09
B (0.0000, 0.5562, 0.2500)  0.00
B (0.5000, 0.0596, 0.4127)  -0.09
B (0.0000, 0.4438, 0.7500)  0.00
B (0.5000, 0.9404, 0.9127)  -0.09
Ir (0.5000, 0.5644, 0.6161)  0.38
Ir (0.5000, 0.4356, 0.3839)  0.38
Ir (0.5000, 0.4356, 0.1161)  0.38
Ir (0.5000, 0.1741, 0.7500)  0.41
Ir (0.5000, 0.8259, 0.2500)  0.41
Ir (0.5000, 0.5644, 0.8839)  0.38
Fe (0.0000, 0.8104, 0.4611)  2.26
Fe (0.0000, 0.1896, 0.5389)  2.26
Fe (0.0000, 0.1656, 0.2500)  2.72
Fe (0.0000, 0.8344, 0.7500)  2.72
Fe (0.0000, 0.1896, 0.9611)  2.26
Fe (0.0000, 0.8104, 0.0389)  2.26

***

Record 4
## Fe2BIr (PBE)

Data for crystalline Fe2BIr at its relaxed geometry.

The calculated formation energy comes out at -0.2 eV per formula unit.

abc: 2.5813 2.5813 6.0852
angles: 90.00 90.00 90.00
Fractional positions:
Ir (0.5000, 0.5000, 0.5000)
Fe (0.0000, 0.0000, 0.1958)
Fe (0.0000, 0.0000, 0.8042)
B (0.5000, 0.5000, 0.0000)

***

Record 5
## Fe2B2Ir (PBE)

Data for crystalline Fe2B2Ir at its relaxed geometry.

The calculated formation energy comes out at -0.9 eV per formula unit.

abc: 5.6926 5.6926 2.9784
angles: 90.00 90.00 90.00
Last column: magnetic moment on the atom in μB.
Fractional positions:
Fe (0.8383, 0.3383, 0.5000)  2.00
Fe (0.3383, 0.1617, 0.5000)  2.00
Fe (0.1617, 0.6617, 0.5000)  2.01
Fe (0.6617, 0.8383, 0.5000)  1.99
Ir (0.0000, 0.0000, 0.0000)  0.45
Ir (0.5000, 0.5000, 0.0000)  0.45
B (0.8842, 0.6158, 0.0000)  -0.05
B (0.3842, 0.8842, 0.0000)  -0.05
B (0.6158, 0.1158, 0.0000)  -0.05
B (0.1158, 0.3842, 0.0000)  -0.05

***

Record 6
## Fe2BIr (PBE)

Data for crystalline Fe2BIr at its relaxed geometry.

The calculated formation energy comes out at -0.8 eV per formula unit.

abc: 2.8544 4.5120 7.0335
angles: 90.00 90.00 108.44
Last column: magnetic moment on the atom in μB.
Fractional positions:
Ir (0.0729, 0.1459, 0.7500)  0.45
Ir (0.9271, 0.8541, 0.2500)  0.45
B (0.2333, 0.4665, 0.2500)  -0.11
B (0.7667, 0.5335, 0.7500)  -0.11
Fe (0.6408, 0.2817, 0.4392)  2.28
Fe (0.3592, 0.7183, 0.5608)  2.28
Fe (0.3592, 0.7183, 0.9392)  2.28
Fe (0.6408, 0.2817, 0.0608)  2.28

***

What is the formula in the fourth record?
Fe2BIr

***

Number 2 is which compound?
Fe2BIr